The following is a SCAN calculation of a crystal of CoNiIr2 relaxed with PBEsol, from the Alexandria database.

The structure belongs to space group R-3m (No. 166, hexagonal axes); the cell edges are 2.6379, 2.6379 and 24.7657 Å and the angles 90.00°, 90.00° and 120.00°. Symmetry generates all atoms from Co at (0.0000, 0.0000, 0.0000), Ni at (0.0000, 0.0000, 0.5000) and Ir at (0.0000, 0.0000, 0.2506).

The value obtained for the calculated formation energy is 15 meV per atom. Its energy above the most stable polymorph in this dataset is 0.010 eV/atom.

The following is a SCAN calculation of a crystal of KY2Cu relaxed with PBEsol, from the Alexandria database.

The structure belongs to space group Immm (No. 71); the cell edges are 3.3682, 5.8996 and 11.9446 Å and the angles 90.00°, 90.00° and 90.00°. Symmetry generates all atoms from K at (0.0000, 0.0000, 0.0000), Y at (0.0000, 0.5000, 0.1928) and Cu at (0.0000, 0.0000, 0.5000).

The value obtained for the calculated formation energy is 315 meV per atom. Its energy above the most stable polymorph in this dataset is 0.236 eV/atom.

The following is a SCAN calculation of a crystal of Be7Cu6 relaxed with PBEsol, from the Alexandria database.

The structure belongs to space group R-3m (No. 166, hexagonal axes); the cell edges are 4.2559, 4.2559 and 23.0145 Å and the angles 90.00°, 90.00° and 120.00°. Symmetry generates all atoms from Be at (0.0000, 0.0000, 0.0000), Be at (0.0002, 0.5001, 0.4100), Cu at (0.0000, 0.0000, 0.1678), Cu at (0.0000, 0.0000, 0.3463) and Cu at (0.0000, 0.0000, 0.4507).

The value obtained for the calculated formation energy is -169 meV per atom.

The following is a SCAN calculation of a crystal of Ta2AlPt relaxed with PBEsol, from the Alexandria database.

The structure belongs to space group P4mm (No. 99); the cell edges are 3.3344, 3.3344 and 5.8806 Å and the angles 90.00°, 90.00° and 90.00°. Symmetry generates all atoms from Ta at (0.0000, 0.0000, 0.0000), Ta at (0.5000, 0.5000, 0.2470), Al at (0.0000, 0.0000, 0.5024) and Pt at (0.5000, 0.5000, 0.7275).

The value obtained for the calculated formation energy is -480 meV per atom.

The following is a SCAN calculation of a crystal of ScMn2CrH relaxed with PBEsol, from the Alexandria database.

The structure belongs to space group P4/mmm (No. 123); the cell edges are 4.5802, 4.5802 and 4.7545 Å and the angles 90.00°, 90.00° and 90.00°. Symmetry generates all atoms from Sc at (0.0000, 0.0000, 0.0000), Mn at (0.0000, 0.5000, 0.0000), Cr at (0.0000, 0.0000, 0.5000) and H at (0.5000, 0.5000, 0.5000).

The calculation puts the raw total energy at -12.6253 eV per atom.

The following is a SCAN calculation of a crystal of HgSbOs2 relaxed with PBEsol, from the Alexandria database.

The structure belongs to space group P4/mmm (No. 123); the cell edges are 4.5359, 4.5359 and 3.2432 Å and the angles 90.00°, 90.00° and 90.00°. Symmetry generates all atoms from Hg at (0.0000, 0.0000, 0.0000), Sb at (0.5000, 0.5000, 0.0000) and Os at (0.0000, 0.5000, 0.5000).

The uncorrected formation energy comes out at 990 meV per atom. Its energy above the most stable polymorph in this dataset is 0.447 eV/atom.

The following is a SCAN calculation of a crystal of KCo2Ru relaxed with PBEsol, from the Alexandria database.

The structure belongs to space group P4/mmm (No. 123); the cell edges are 2.6956, 2.6956 and 8.3957 Å and the angles 90.00°, 90.00° and 90.00°. Symmetry generates all atoms from K at (0.0000, 0.0000, 0.0000), Co at (0.5000, 0.5000, 0.3149) and Ru at (0.0000, 0.0000, 0.5000).

The value obtained for the calculated formation energy is 952 meV per atom. Its energy above the most stable polymorph in this dataset is 0.177 eV/atom.

The following is a SCAN calculation of a crystal of Al2CuSi relaxed with PBEsol, from the Alexandria database.

The structure belongs to space group P-6m2 (No. 187); the cell edges are 2.6993, 2.6993 and 9.5498 Å and the angles 90.00°, 90.00° and 120.00°. Symmetry generates all atoms from Al at (0.0000, 0.0000, 0.2409), Cu at (0.0000, 0.0000, 0.5000) and Si at (0.6667, 0.3333, 0.0000).

The uncorrected formation energy comes out at 340 meV per atom.

no.,volume (Å³/cell),D(E_F) (states/eV per atom)
1,149.2,1.17
2,237.4,1.11
3,361.0,0.18
4,65.4,0.78
5,99.7,0.47
6,66.7,1.06
7,61.0,1.05
8,60.3,0.36